DFT (PBE) results for an optimized crystal structure of Na2Ga3Ag5.

Cell lengths 5.6178, 9.1425, 9.1425 Å; angles 67.65, 72.11, 72.11 degrees
Fractional coordinates of all 20 atoms:
Ga1 0.7500 0.0000 0.0000
Ag1 0.0651 0.1444 0.7254
Ag2 0.7500 0.5000 0.5000
Na1 0.1613 0.5678 0.1096
Ag3 0.5651 0.7254 0.1444
Ag4 0.2500 0.5000 0.5000
Ag5 0.0609 0.1891 0.1891
Ga2 0.6570 0.4123 0.2737
Ga3 0.1570 0.2737 0.4123
Ag6 0.5609 0.1891 0.1891
Na2 0.6613 0.1096 0.5678
Ag7 0.4391 0.8109 0.8109
Ag8 0.9391 0.8109 0.8109
Na3 0.8387 0.4322 0.8904
Ga4 0.8430 0.7263 0.5877
Ga5 0.2500 0.0000 0.0000
Ag9 0.4349 0.2746 0.8556
Na4 0.3387 0.8904 0.4322
Ag10 0.9349 0.8556 0.2746
Ga6 0.3430 0.5877 0.7263

Computed properties:
Space-group type: No. 72
Formation energy in eV per formula unit: -0.5
Offset from the most stable computed form in meV/atom: 0

DFT (PBE) results for an optimized crystal structure of CsUCl6.

Cell lengths 6.7487, 6.7487, 6.7859 Å; angles 79.97, 79.97, 99.51 degrees
Each line ends with the local moment (μB).
Fractional coordinates of all 8 atoms:
Cl1 0.7277 0.7277 0.9326  -0.03
Cl2 0.7290 0.0742 0.2715  -0.03
Cs1 0.5000 0.5000 0.5000  0.00
Cl3 0.9258 0.2710 0.7285  -0.03
Cl4 0.0742 0.7290 0.2715  -0.03
Cl5 0.2723 0.2723 0.0674  -0.03
Cl6 0.2710 0.9258 0.7285  -0.03
U1 0.0000 0.0000 0.0000  1.16

Computed properties:
Space-group type: No. 12
Offset from the most stable computed form in meV/atom: 0
Formation energy (no corrections) in eV/atom: -1.811

DFT (PBE) results for an optimized crystal structure of LaPIrCl2.

Cell lengths 5.3531, 5.3531, 6.0743 Å; angles 90.00, 90.00, 90.00 degrees
Each line ends with the local moment (μB).
Fractional coordinates of all 5 atoms:
Cl1 0.0000 0.5000 0.0000  0.00
Cl2 0.5000 0.0000 0.0000  0.00
P1 0.0000 0.0000 0.5000  -0.41
Ir1 0.5000 0.5000 0.5000  2.05
La1 0.0000 0.0000 0.0000  -0.02

Computed properties:
Space-group type: No. 123
Offset from the most stable computed form in meV/atom: 860
Formation energy (no corrections) in eV/atom: 0.306

DFT (PBE) results for an optimized crystal structure of RbIn2Bi2.

Cell lengths 9.5709, 9.5709, 3.7601 Å; angles 90.00, 90.00, 90.00 degrees
Fractional coordinates of all 10 atoms:
Bi1 0.8567 0.6433 0.0000
Rb1 0.5000 0.5000 0.0000
In1 0.6456 0.8544 0.5000
In2 0.1456 0.6456 0.5000
In3 0.3544 0.1456 0.5000
Bi2 0.3567 0.8567 0.0000
Bi3 0.1433 0.3567 0.0000
In4 0.8544 0.3544 0.5000
Rb2 0.0000 0.0000 0.0000
Bi4 0.6433 0.1433 0.0000

Computed properties:
Space-group type: No. 127
Formation energy in eV per formula unit: -0.4
Offset from the most stable computed form in meV/atom: 131

DFT (PBE) results for an optimized crystal structure of KBr2F6.

Cell lengths 7.9303, 7.9303, 8.2962 Å; angles 112.68, 123.90, 90.75 degrees
Each line ends with the local moment (μB).
Fractional coordinates of all 18 atoms:
F1 0.1982 0.7999 0.6037  0.03
F2 0.0007 0.0696 0.2021  0.19
F3 0.6325 0.2013 0.7021  0.19
F4 0.2558 0.4333 0.4421  0.02
F5 0.3038 0.4055 0.1037  0.03
F6 0.8018 0.2001 0.3963  0.03
Br1 0.5983 0.3921 0.9165  0.18
F7 0.5088 0.1863 0.9421  0.02
F8 0.3675 0.7987 0.2979  0.19
Br2 0.0244 0.3183 0.4165  0.18
F9 0.4912 0.8137 0.0579  0.02
F10 0.6962 0.5945 0.8963  0.03
Br3 0.9756 0.6817 0.5835  0.18
K1 0.3927 0.1427 0.2500  0.00
Br4 0.4017 0.6079 0.0835  0.18
F11 0.9993 0.9304 0.7979  0.19
K2 0.6073 0.8573 0.7500  0.00
F12 0.7442 0.5667 0.5579  0.02

Computed properties:
Space-group type: No. 15
Formation energy (no corrections) in eV/atom: -1.245

DFT (PBE) results for an optimized crystal structure of CeDy3Ag4.

Cell lengths 5.1752, 7.3376, 10.3417 Å; angles 90.00, 90.00, 90.00 degrees
Each line ends with the local moment (μB).
Fractional coordinates of all 16 atoms:
Ag1 0.5000 0.2401 0.5000  0.00
Dy1 0.0000 0.0000 0.0000  0.03
Ag2 0.5000 0.7599 0.5000  0.00
Ag3 0.5000 0.7599 0.0000  0.00
Ag4 0.9992 0.7599 0.2500  0.00
Dy2 0.4995 0.5000 0.2500  0.06
Ce1 0.0000 0.5000 0.0000  0.86
Ag5 0.0008 0.7599 0.7500  0.00
Dy3 0.5004 0.0000 0.7500  -0.01
Ag6 0.9992 0.2401 0.2500  0.00
Ag7 0.5000 0.2401 0.0000  0.00
Dy4 0.4996 0.0000 0.2500  -0.01
Ce2 0.0000 0.5000 0.5000  0.86
Dy5 0.0000 0.0000 0.5000  0.03
Dy6 0.5005 0.5000 0.7500  0.06
Ag8 0.0008 0.2401 0.7500  0.00

Computed properties:
Space-group type: No. 123
Formation energy in eV per formula unit: -2.0

DFT (PBE) results for an optimized crystal structure of CdCuO2F.

Cell lengths 4.1722, 4.1722, 4.3112 Å; angles 90.00, 90.00, 90.00 degrees
Each line ends with the local moment (μB).
Fractional coordinates of all 5 atoms:
Cd1 0.0000 0.0000 0.0000  -0.06
O1 0.5000 0.0000 0.0000  -0.44
Cu1 0.5000 0.5000 0.5000  -0.26
F1 0.0000 0.0000 0.5000  -0.03
O2 0.0000 0.5000 0.0000  -0.44

Computed properties:
Space-group type: No. 123
Formation energy (no corrections) in eV/atom: -0.039

DFT (PBE) results for an optimized crystal structure of BaTcHg2.

Cell lengths 7.3502, 5.5630, 3.4242 Å; angles 89.75, 62.67, 121.29 degrees
Each line ends with the local moment (μB).
Fractional coordinates of all 4 atoms:
Hg1 0.0000 0.0000 0.0000  -0.03
Tc1 0.0000 0.5000 0.5000  1.90
Ba1 0.5000 0.5000 0.0000  -0.05
Hg2 0.5000 0.0000 0.5000  -0.03

Computed properties:
Space-group type: No. 12
Formation energy in eV per formula unit: 2.4
Offset from the most stable computed form in meV/atom: 629

DFT (PBE) results for an optimized crystal structure of HoTm5Sc5.

Cell lengths 5.7483, 5.7483, 11.1289 Å; angles 90.00, 90.00, 120.00 degrees
Each line ends with the local moment (μB).
Fractional coordinates of all 11 atoms:
Ho1 0.3333 0.6667 0.0000  0.03
Sc1 0.8349 0.1651 0.5000  0.12
Tm1 0.6667 0.3333 0.1610  0.09
Sc2 0.0000 0.0000 0.7320  0.28
Tm2 0.3333 0.6667 0.3193  0.23
Sc3 0.3303 0.1651 0.5000  0.12
Sc4 0.8349 0.6697 0.5000  0.12
Sc5 0.0000 0.0000 0.2680  0.28
Tm3 0.6667 0.3333 0.8390  0.09
Tm4 0.0000 0.0000 0.0000  0.00
Tm5 0.3333 0.6667 0.6807  0.23

Computed properties:
Space-group type: No. 187
Formation energy in eV per formula unit: 2.8

DFT (PBE) results for an optimized crystal structure of KAg2Ir.

Cell lengths 6.3219, 6.3219, 6.3219 Å; angles 154.84, 129.47, 57.26 degrees
Fractional coordinates of all 4 atoms:
K1 0.2535 0.7535 0.5000
Ag1 0.9741 0.9741 0.0000
Ag2 0.7441 0.2441 0.5000
Ir1 0.5284 0.5284 0.0000

Computed properties:
Space-group type: No. 44
Formation energy in eV per formula unit: 2.2
Offset from the most stable computed form in meV/atom: 78

DFT (PBE) results for an optimized crystal structure of LiInSb2Ru.

Cell lengths 5.0762, 4.9938, 5.0762 Å; angles 90.00, 90.00, 90.00 degrees
Fractional coordinates of all 5 atoms:
In1 0.5000 0.5000 0.5000
Li1 0.0000 0.5000 0.0000
Sb1 0.5000 0.0000 0.0000
Ru1 0.0000 0.0000 0.0000
Sb2 0.0000 0.0000 0.5000

Computed properties:
Space-group type: No. 123
Formation energy (no corrections) in eV/atom: 0.133

DFT (PBE) results for an optimized crystal structure of CsLiNd2Se4.

Cell lengths 4.3672, 7.7221, 15.0770 Å; angles 90.00, 90.00, 106.43 degrees
Fractional coordinates of all 16 atoms:
Se1 0.2593 0.5185 0.3940
Se2 0.2593 0.5185 0.1060
Cs1 0.8945 0.7889 0.2500
Cs2 0.1055 0.2111 0.7500
Se3 0.0000 0.0000 0.5000
Nd1 0.6340 0.2681 0.4400
Se4 0.0000 0.0000 0.0000
Li1 0.8295 0.6591 0.7500
Nd2 0.3660 0.7319 0.5600
Nd3 0.3660 0.7319 0.9400
Se5 0.7407 0.4815 0.6060
Se6 0.7407 0.4815 0.8940
Nd4 0.6340 0.2681 0.0600
Li2 0.1705 0.3409 0.2500
Se7 0.5845 0.1690 0.2500
Se8 0.4155 0.8310 0.7500

Computed properties:
Space-group type: No. 63
Formation energy (no corrections) in eV/atom: -1.708

Volume across the listed records, respectively: 20.174 36.691 34.812 34.443 21.190 24.545 15.010 25.177 28.951 20.612 25.736 30.482 Å³ per atom.
Total energy across the listed records, respectively: -2.646 -4.714 -4.272 -2.923 -2.987 -4.137 -3.398 -2.614 -5.076 -3.365 -4.302 -4.988 eV/atom.